# NaCd4Pb

Crystalline NaCd4Pb at its relaxed geometry (PBE, Alexandria via LeMat-Bulk).

Its energy of formation is -0.06 eV/atom. For the volume, the calculation gives 25.58 Å³/atom.

Lattice parameters (Å, degrees): 8.4994 8.4994 8.4994 90.00 90.00 90.00
Space group F-43m (No. 216)
Symmetry-distinct sites (fractional):
Na1 0.0000 0.0000 0.0000
Cd1 0.1254 0.1254 0.3746
Pb1 0.2500 0.2500 0.7500